The following is a DFT calculation (GGA-PBE) of SiCCl2 after structural relaxation.

a = 8.331 Å, b = 8.331 Å, c = 8.331 Å
α = 22.27°, β = 22.27°, γ = 22.27°
Positions (direct):
Si 0.000 0.000 0.000
C 0.500 0.500 0.500
Cl 0.416 0.416 0.416
Cl 0.584 0.584 0.584

Calculated values
Formation energy from raw total energies, eV per atom: 1.52
Space group: R-3m
DOS(E_F), states/eV per cell: 1.4
E, eV for the cell shown: -12.27
E above lowest polymorph, meV/atom: 2



The following is a DFT calculation (GGA-PBE) of Si3CCl after structural relaxation.

a = 4.709 Å, b = 4.709 Å, c = 4.709 Å
α = 90.00°, β = 90.00°, γ = 90.00°
Positions (direct):
Si 0.000 0.000 0.500
Si 0.000 0.500 0.000
Si 0.500 0.000 0.000
C 0.500 0.500 0.500
Cl 0.000 0.000 0.000

Calculated values
Formation energy from raw total energies, eV per atom: 2.41
Space group: Pm-3m
DOS(E_F), states/eV per cell: 2.6
E, eV for the cell shown: -15.30
E above lowest polymorph, meV/atom: 1182



The following is a DFT calculation (GGA-PBE) of SiCCl3 after structural relaxation.

a = 4.455 Å, b = 4.455 Å, c = 4.455 Å
α = 90.00°, β = 90.00°, γ = 90.00°
Positions (direct):
Si 0.000 0.000 0.000
C 0.500 0.500 0.500
Cl 0.000 0.500 0.500
Cl 0.500 0.000 0.500
Cl 0.500 0.500 0.000

Calculated values
Formation energy from raw total energies, eV per atom: 1.11
Space group: Pm-3m
DOS(E_F), states/eV per cell: 4.3
E, eV for the cell shown: -14.62
E above lowest polymorph, meV/atom: 1933



The following is a DFT calculation (GGA-PBE) of Si3CCl after structural relaxation.

a = 4.273 Å, b = 4.273 Å, c = 4.273 Å
α = 90.00°, β = 90.00°, γ = 90.00°
Positions (direct):
Si 0.000 0.000 0.500
Si 0.000 0.500 0.000
Si 0.500 0.000 0.000
C 0.000 0.000 0.000
Cl 0.500 0.500 0.500

Calculated values
Formation energy from raw total energies, eV per atom: 1.23
Space group: Pm-3m
DOS(E_F), states/eV per cell: 4.7
E, eV for the cell shown: -21.21
E above lowest polymorph, meV/atom: 0